(i)
# CsUCo, relaxed, DFT GGA-PBE
data_CsUCo
_cell_length_a 6.710
_cell_length_b 6.710
_cell_length_c 6.710
_cell_angle_alpha 90.00
_cell_angle_beta 90.00
_cell_angle_gamma 90.00
_space_group_name_H-M_alt 'F -4 3 m'
_space_group_IT_number 216
_space_group_name_Hall 'F -4 2 3'
loop_
_atom_site_label
_atom_site_type_symbol
_atom_site_fract_x
_atom_site_fract_y
_atom_site_fract_z
_atom_site_occupancy
Cs1 Cs 0.000 0.000 0.000 1
U1 U 0.250 0.250 0.250 1
Co1 Co 0.250 0.250 0.750 1
# size of the total moment	3.88	μB/cell

(ii)
# CsUCo, relaxed, DFT GGA-PBE
data_CsUCo
_cell_length_a 6.803
_cell_length_b 6.803
_cell_length_c 6.803
_cell_angle_alpha 90.00
_cell_angle_beta 90.00
_cell_angle_gamma 90.00
_space_group_name_H-M_alt 'F -4 3 m'
_space_group_IT_number 216
_space_group_name_Hall 'F -4 2 3'
loop_
_atom_site_label
_atom_site_type_symbol
_atom_site_fract_x
_atom_site_fract_y
_atom_site_fract_z
_atom_site_occupancy
Cs1 Cs 0.000 0.000 0.000 1
U1 U 0.000 0.000 0.500 1
Co1 Co 0.250 0.250 0.250 1
# size of the total moment	13.26	μB/cell

Relative energy table, unit meV/atom: (i) 590; (ii) 0

(i)
# Dy2CoCu, relaxed, DFT GGA-PBE
data_Dy2CoCu
_cell_length_a 5.497
_cell_length_b 4.163
_cell_length_c 7.581
_cell_angle_alpha 90.00
_cell_angle_beta 110.59
_cell_angle_gamma 90.00
_space_group_name_H-M_alt 'P 1 21/m 1'
_space_group_IT_number 11
_space_group_name_Hall '-P 2yb'
loop_
_atom_site_label
_atom_site_type_symbol
_atom_site_fract_x
_atom_site_fract_y
_atom_site_fract_z
_atom_site_occupancy
Dy1 Dy 0.214 0.250 0.436 1
Dy2 Dy 0.226 0.250 0.924 1
Co1 Co 0.361 0.750 0.717 1
Cu1 Cu 0.356 0.750 0.215 1
# size of the total moment	0.00	μB/cell

(ii)
# Dy2CoCu, relaxed, DFT GGA-PBE
data_Dy2CoCu
_cell_length_a 4.225
_cell_length_b 5.439
_cell_length_c 7.054
_cell_angle_alpha 90.00
_cell_angle_beta 90.00
_cell_angle_gamma 90.00
_space_group_name_H-M_alt 'P m c 21'
_space_group_IT_number 26
_space_group_name_Hall 'P 2c -2'
loop_
_atom_site_label
_atom_site_type_symbol
_atom_site_fract_x
_atom_site_fract_y
_atom_site_fract_z
_atom_site_occupancy
Dy1 Dy 0.000 0.111 0.000 1
Dy2 Dy 0.500 0.378 0.637 1
Co1 Co 0.500 0.125 0.283 1
Cu1 Cu 0.000 0.375 0.352 1
# size of the total moment	0.03	μB/cell

Relative energy table, unit meV/atom: (i) 0; (ii) 10

(i)
# LuGaCoCu, relaxed, DFT GGA-PBE
data_LuGaCoCu
_cell_length_a 6.246
_cell_length_b 6.246
_cell_length_c 6.246
_cell_angle_alpha 90.00
_cell_angle_beta 90.00
_cell_angle_gamma 90.00
_space_group_name_H-M_alt 'F -4 3 m'
_space_group_IT_number 216
_space_group_name_Hall 'F -4 2 3'
loop_
_atom_site_label
_atom_site_type_symbol
_atom_site_fract_x
_atom_site_fract_y
_atom_site_fract_z
_atom_site_occupancy
Lu1 Lu 0.000 0.000 0.000 1
Ga1 Ga 0.000 0.000 0.500 1
Co1 Co 0.250 0.250 0.750 1
Cu1 Cu 0.250 0.250 0.250 1
# size of the total moment	1.59	μB/cell

(ii)
# LuGaCoCu, relaxed, DFT GGA-PBE
data_LuGaCoCu
_cell_length_a 6.330
_cell_length_b 6.330
_cell_length_c 6.330
_cell_angle_alpha 90.00
_cell_angle_beta 90.00
_cell_angle_gamma 90.00
_space_group_name_H-M_alt 'F -4 3 m'
_space_group_IT_number 216
_space_group_name_Hall 'F -4 2 3'
loop_
_atom_site_label
_atom_site_type_symbol
_atom_site_fract_x
_atom_site_fract_y
_atom_site_fract_z
_atom_site_occupancy
Lu1 Lu 0.000 0.000 0.000 1
Ga1 Ga 0.250 0.250 0.250 1
Co1 Co 0.250 0.250 0.750 1
Cu1 Cu 0.000 0.000 0.500 1
# size of the total moment	4.74	μB/cell

(iii)
# LuGaCoCu, relaxed, DFT GGA-PBE
data_LuGaCoCu
_cell_length_a 6.303
_cell_length_b 6.303
_cell_length_c 6.303
_cell_angle_alpha 90.00
_cell_angle_beta 90.00
_cell_angle_gamma 90.00
_space_group_name_H-M_alt 'F -4 3 m'
_space_group_IT_number 216
_space_group_name_Hall 'F -4 2 3'
loop_
_atom_site_label
_atom_site_type_symbol
_atom_site_fract_x
_atom_site_fract_y
_atom_site_fract_z
_atom_site_occupancy
Lu1 Lu 0.000 0.000 0.000 1
Ga1 Ga 0.250 0.250 0.250 1
Co1 Co 0.000 0.000 0.500 1
Cu1 Cu 0.250 0.250 0.750 1
# size of the total moment	4.20	μB/cell

Relative energy table, unit meV/atom: (i) 0; (ii) 207; (iii) 128